AcAlSiPd3 after structural relaxation. Source: the Alexandria database, functional GGA-PBE.

abc: 5.944 6.808 7.030
angles: 118.96 90.00 90.00
Positions (direct):
Pd1 0.000 0.707 0.000
Pd2 0.000 0.293 0.000
Pd3 0.500 0.293 0.000
Pd4 0.250 0.196 0.392
Pd5 0.750 0.804 0.608
Pd6 0.500 0.707 0.000
Ac1 0.750 0.280 0.560
Ac2 0.250 0.720 0.440
Si1 0.750 0.610 0.220
Si2 0.250 0.390 0.780
Al1 0.250 0.995 0.989
Al2 0.750 0.005 0.011

Properties
The density of states at the Fermi level comes out at 3.54 states/eV per cell. As for the spin magnetization: 0.00 μB per formula unit. For the uncorrected formation energy, the calculation gives -0.730 eV per atom.


CsK3HgO after structural relaxation. Source: the Alexandria database, functional GGA-PBE.

abc: 7.244 8.449 10.575
angles: 66.45 76.62 54.61
Positions (direct):
K1 0.750 0.181 0.638
K2 0.250 0.819 0.362
K3 0.038 0.781 0.116
K4 0.538 0.896 0.884
K5 0.462 0.104 0.116
K6 0.962 0.219 0.884
Cs1 0.250 0.608 0.785
Cs2 0.750 0.392 0.215
O1 0.250 0.950 0.099
O2 0.750 0.050 0.901
Hg1 0.250 0.255 0.489
Hg2 0.750 0.745 0.511

Properties
The density of states at the Fermi level comes out at 5.53 states/eV per cell. As for the spin magnetization: 0.00 μB per formula unit. For the uncorrected formation energy, the calculation gives -0.502 eV per atom.


AcTh2Cd after structural relaxation. Source: the Alexandria database, functional GGA-PBE.

abc: 5.679 5.679 5.679
angles: 60.00 60.00 60.00
Positions (direct):
Th1 0.250 0.250 0.250
Th2 0.750 0.750 0.750
Ac1 0.000 0.000 0.000
Cd1 0.500 0.500 0.500

Properties
The density of states at the Fermi level comes out at 7.10 states/eV per cell. The value obtained for the excess energy over the best structure of this formula in the dataset is 0.63 eV per formula unit. As for the spin magnetization: 0.00 μB per formula unit. The value obtained for the formation enthalpy at 0 K is 0.9 eV per formula unit.


CsNa3Pb after structural relaxation. Source: the Alexandria database, functional GGA-PBE.

abc: 6.233 6.233 6.233
angles: 90.00 90.00 90.00
Positions (direct):
Na1 0.000 0.000 0.500
Na2 0.000 0.500 0.000
Na3 0.500 0.000 0.000
Cs1 0.000 0.000 0.000
Pb1 0.500 0.500 0.500

Properties
The density of states at the Fermi level comes out at 14.94 states/eV per cell. The value obtained for the excess energy over the best structure of this formula in the dataset is 3.76 eV per formula unit. As for the spin magnetization: 0.00 μB per formula unit. The value obtained for the formation enthalpy at 0 K is 3.3 eV per formula unit.


KYMg14 after structural relaxation. Source: the Alexandria database, functional GGA-PBE.

abc: 6.687 6.687 10.494
angles: 90.00 90.00 120.00
Positions (direct):
Mg1 0.172 0.344 0.242
Mg2 0.005 0.502 0.000
Mg3 0.172 0.828 0.242
Mg4 0.172 0.828 0.758
Mg5 0.667 0.333 0.751
Mg6 0.667 0.333 0.249
Mg7 0.498 0.502 0.000
Mg8 0.656 0.828 0.758
Mg9 0.496 0.993 0.500
Mg10 0.656 0.828 0.242
Mg11 0.007 0.504 0.500
Mg12 0.172 0.344 0.758
Mg13 0.498 0.995 0.000
Mg14 0.496 0.504 0.500
K1 0.000 0.000 0.500
Y1 0.000 0.000 0.000

Properties
The density of states at the Fermi level comes out at 7.57 states/eV per cell. The value obtained for the excess energy over the best structure of this formula in the dataset is 0.00 eV per formula unit. As for the spin magnetization: 0.00 μB per formula unit. The value obtained for the formation enthalpy at 0 K is 1.1 eV per formula unit.


Pm3GaHg2 after structural relaxation. Source: the Alexandria database, functional GGA-PBE.

abc: 3.759 5.353 15.988
angles: 90.00 90.00 90.00
Positions (direct):
Ga1 0.000 0.000 0.000
Ga2 0.000 0.500 0.500
Pm1 0.501 0.000 0.841
Pm2 0.501 0.000 0.159
Pm3 0.500 0.000 0.500
Pm4 0.499 0.500 0.341
Pm5 0.499 0.500 0.659
Pm6 0.500 0.500 0.000
Hg1 0.000 0.000 0.670
Hg2 0.000 0.500 0.170
Hg3 0.000 0.500 0.830
Hg4 0.000 0.000 0.330

Properties
The density of states at the Fermi level comes out at 16.30 states/eV per cell. The value obtained for the excess energy over the best structure of this formula in the dataset is 0.03 eV per formula unit. As for the spin magnetization: 0.00 μB per formula unit. The value obtained for the formation enthalpy at 0 K is -3.0 eV per formula unit.


ScSiRu2 after structural relaxation. Source: the Alexandria database, functional GGA-PBE.

abc: 4.032 4.032 8.953
angles: 76.99 76.99 90.00
Positions (direct):
Sc1 0.000 0.000 0.000
Sc2 0.750 0.250 0.500
Ru1 0.196 0.625 0.250
Ru2 0.375 0.446 0.750
Ru3 0.554 0.125 0.250
Ru4 0.875 0.804 0.750
Si1 0.500 0.500 0.000
Si2 0.250 0.750 0.500

Properties
The density of states at the Fermi level comes out at 7.27 states/eV per cell. As for the spin magnetization: 0.00 μB per formula unit. For the uncorrected formation energy, the calculation gives -0.032 eV per atom.


TiMn2In after structural relaxation. Source: the Alexandria database, functional GGA-PBE.

abc: 3.888 3.888 9.229
angles: 77.84 77.84 90.00
Positions (direct):
Mn1 0.229 0.625 0.250
Mn2 0.521 0.125 0.250
Mn3 0.375 0.479 0.750
Mn4 0.875 0.771 0.750
In1 0.750 0.250 0.500
In2 0.000 0.000 0.000
Ti1 0.250 0.750 0.500
Ti2 0.500 0.500 0.000

Properties
The density of states at the Fermi level comes out at 10.21 states/eV per cell. As for the spin magnetization: 0.00 μB per formula unit. The value obtained for the formation enthalpy at 0 K is 2.6 eV per formula unit.


CaDy2Y6 after structural relaxation. Source: the Alexandria database, functional GGA-PBE.

abc: 9.302 9.302 13.493
angles: 132.60 132.60 51.33
Positions (direct):
Dy1 0.740 0.424 0.633
Dy2 0.576 0.260 0.867
Dy3 0.260 0.576 0.367
Dy4 0.424 0.740 0.133
Y1 0.740 0.640 0.022
Y2 0.632 0.174 0.262
Y3 0.137 0.151 0.083
Y4 0.260 0.360 0.978
Y5 0.849 0.863 0.417
Y6 0.368 0.826 0.738
Y7 0.151 0.137 0.583
Y8 0.360 0.260 0.478
Y9 0.863 0.849 0.917
Y10 0.174 0.632 0.762
Y11 0.826 0.368 0.238
Y12 0.640 0.740 0.522
Ca1 0.881 0.119 0.750
Ca2 0.119 0.881 0.250

Properties
The density of states at the Fermi level comes out at 26.87 states/eV per cell. As for the spin magnetization: 0.00 μB per formula unit. The value obtained for the formation enthalpy at 0 K is 1.9 eV per formula unit.


MgIr5W4 after structural relaxation. Source: the Alexandria database, functional GGA-PBE.

abc: 2.810 2.810 19.328
angles: 90.00 90.00 90.00
Positions (direct):
W1 0.000 0.000 0.601
W2 0.000 0.000 0.196
W3 0.000 0.000 0.804
W4 0.000 0.000 0.399
Ir1 0.500 0.500 0.898
Ir2 0.500 0.500 0.299
Ir3 0.500 0.500 0.500
Ir4 0.500 0.500 0.102
Ir5 0.500 0.500 0.701
Mg1 0.000 0.000 0.000

Properties
The density of states at the Fermi level comes out at 6.20 states/eV per cell. As for the spin magnetization: 0.00 μB per formula unit. The value obtained for the formation enthalpy at 0 K is -3.0 eV per formula unit.


K4Rb3O4 after structural relaxation. Source: the Alexandria database, functional GGA-PBE.

abc: 4.070 7.949 8.906
angles: 116.51 103.21 90.00
Each line ends with the local moment (μB).
Positions (direct):
Rb1 0.101 0.101 0.201  0.00
Rb2 0.899 0.899 0.799  0.00
Rb3 0.000 0.500 0.000  0.01
K1 0.673 0.867 0.345  0.00
K2 0.327 0.522 0.655  0.00
K3 0.327 0.133 0.655  0.00
K4 0.673 0.478 0.345  0.00
O1 0.237 0.737 0.475  0.13
O2 0.763 0.263 0.525  0.13
O3 0.500 0.229 0.000  0.33
O4 0.500 0.771 0.000  0.33

Properties
The density of states at the Fermi level comes out at 12.45 states/eV per cell. The value obtained for the excess energy over the best structure of this formula in the dataset is 0.07 eV per formula unit. As for the spin magnetization: 1.14 μB per formula unit. For the uncorrected formation energy, the calculation gives -0.906 eV per atom.


Rb2NpH2S4 after structural relaxation. Source: the Alexandria database, functional GGA-PBE.

abc: 3.632 7.341 8.950
angles: 114.19 101.71 90.00
Each line ends with the local moment (μB).
Positions (direct):
H1 0.667 0.165 0.333  -0.01
H2 0.333 0.835 0.667  -0.01
Rb1 0.147 0.647 0.294  0.00
Rb2 0.853 0.353 0.706  0.00
Np1 0.000 0.000 0.000  2.96
S1 0.830 0.831 0.659  -0.05
S2 0.500 0.256 0.000  -0.12
S3 0.500 0.744 0.000  -0.12
S4 0.170 0.169 0.341  -0.05

Properties
The density of states at the Fermi level comes out at 7.81 states/eV per cell. As for the spin magnetization: 2.49 μB per formula unit. The energy is -44.9 eV/cell.